The following is a DFT calculation (PBE+U) of Ba3CaCo2O8 after structural relaxation.

Unit cell a=5.9778 b=5.9778 c=7.5957 alpha=90.00 beta=90.00 gamma=120.00
Space group P-3m1 (No. 164)
Unique sites:
Ba: 0.0000 0.0000 0.0000 x1
Ba: 0.3333 0.6667 0.6569 x2
Ca: 0.0000 0.0000 0.5000 x1
Co: 0.3333 0.6667 0.2157 x2
O: 0.1722 0.3445 0.3090 x6
O: 0.3333 0.6667 0.9855 x2

Summary:
total magnetization = 10.00 μB/f.u.
calculated total energy = -6.112 eV per atom